[1]
VASP calculation (PBE) on a geometry-optimized Y3Pd2Rh structure.

Unit cell a=4.948 b=7.821 c=6.955 alpha=90.00 beta=90.00 gamma=71.56
Element x y z (fractional)
Y  0.831  0.338  0.756
Y  0.500  0.000  0.246
Y  0.169  0.662  0.244
Y  0.831  0.338  0.244
Y  0.169  0.662  0.756
Y  0.500  0.000  0.754
Pd  0.000  0.000  0.000
Pd  0.000  0.000  0.500
Pd  0.334  0.332  0.500
Pd  0.666  0.668  0.500
Rh  0.334  0.332  0.000
Rh  0.666  0.668  0.000

Results
D(E_F)   5.10 states/eV per cell
Size of the total moment   0.0 μB per formula unit
Symmetry   Cmmm (65)
Formation enthalpy at 0 K   -5.25 eV/f.u.
Total DFT energy (no corrections)   -7.063 eV per atom

***

[2]
VASP calculation (PBE) on a geometry-optimized K4Tl5 structure.

Unit cell a=10.400 b=10.400 c=7.286 alpha=90.00 beta=90.00 gamma=120.00
Element x y z (fractional)
Tl  0.000  0.665  0.250
Tl  0.335  0.335  0.250
Tl  0.665  0.000  0.250
Tl  0.000  0.335  0.750
Tl  0.665  0.665  0.750
Tl  0.335  0.000  0.750
Tl  0.667  0.333  0.000
Tl  0.333  0.667  0.500
Tl  0.333  0.667  0.000
Tl  0.667  0.333  0.500
K  0.000  0.000  0.000
K  0.000  0.000  0.500
K  0.000  0.345  0.250
K  0.655  0.655  0.250
K  0.345  0.000  0.250
K  0.000  0.655  0.750
K  0.345  0.345  0.750
K  0.655  0.000  0.750

Results
D(E_F)   10.88 states/eV per cell
Size of the total moment   0.0 μB per formula unit
Symmetry   P6_3/mcm (193)
Formation enthalpy at 0 K   0.17 eV/f.u.
Total DFT energy (no corrections)   -1.784 eV per atom

***

[3]
VASP calculation (PBE) on a geometry-optimized Ca8Pd2Au structure.

Unit cell a=6.191 b=7.963 c=7.963 alpha=112.11 beta=99.63 gamma=99.63
Element x y z (fractional)
Ca  0.573  0.340  0.076
Ca  0.573  0.076  0.340
Ca  0.180  0.369  0.369
Ca  0.982  0.220  0.778
Ca  0.982  0.778  0.220
Ca  0.796  0.639  0.639
Ca  0.380  0.930  0.664
Ca  0.380  0.664  0.930
Pd  0.494  0.694  0.321
Pd  0.494  0.321  0.694
Au  0.164  0.002  0.002

Results
D(E_F)   6.59 states/eV per cell
Size of the total moment   0.0 μB per formula unit
Symmetry   Cm (8)
Formation enthalpy at 0 K   -4.70 eV/f.u.
Total DFT energy (no corrections)   -3.125 eV per atom